# 1
Material: FeGe2Ru2
Method: DFT, PBE
State: relaxed

Calculated values
SG: P4/mbm, No. 127
VASP energy: -7.097 eV per atom
Calculated volume: 140.1 Å³/cell
Energy of formation: 0.153 eV/atom

Geometry as POSCAR:
```
FeGe2Ru2
1.0
7.0112 0.0000 0.0000
0.0000 7.0112 0.0000
0.0000 0.0000 2.8507
Fe Ge Ru
2 4 4
direct
0.0000 0.0000 0.0000 Fe
0.5000 0.5000 0.0000 Fe
0.1486 0.3514 0.0000 Ge
0.3514 0.8514 0.0000 Ge
0.6486 0.1486 0.0000 Ge
0.8514 0.6486 0.0000 Ge
0.1525 0.6525 0.5000 Ru
0.3475 0.1525 0.5000 Ru
0.6525 0.8475 0.5000 Ru
0.8475 0.3475 0.5000 Ru
```


# 2
Material: FeGe3Ru
Method: DFT, PBE
State: relaxed

Calculated values
SG: Pm-3m, No. 221
E above lowest polymorph: 0.00 eV per formula unit
VASP energy: -5.597 eV per atom
Calculated volume: 90.2 Å³/cell
Energy of formation: 0.721 eV/atom

Geometry as POSCAR:
```
FeGe3Ru
1.0
4.4841 0.0000 0.0000
0.0000 4.4841 0.0000
0.0000 0.0000 4.4841
Fe Ge Ru
1 3 1
direct
0.0000 0.0000 0.0000 Fe
0.0000 0.0000 0.5000 Ge
0.0000 0.5000 0.0000 Ge
0.5000 0.0000 0.0000 Ge
0.5000 0.5000 0.5000 Ru
```


# 3
Material: FeGe2Ru
Method: DFT, PBE
State: relaxed

Calculated values
SG: Fm-3m, No. 225
E above lowest polymorph: 0.06 eV per formula unit
VASP energy: -6.829 eV per atom
Calculated volume: 212.1 Å³/cell
Energy of formation: -0.086 eV/atom

Geometry as POSCAR:
```
FeGe2Ru
1.0
5.9636 0.0000 0.0000
0.0000 5.9636 0.0000
0.0000 0.0000 5.9636
Fe Ge Ru
4 8 4
direct
0.0000 0.0000 0.0000 Fe
0.0000 0.5000 0.5000 Fe
0.5000 0.0000 0.5000 Fe
0.5000 0.5000 0.0000 Fe
0.2500 0.2500 0.2500 Ge
0.2500 0.2500 0.7500 Ge
0.2500 0.7500 0.2500 Ge
0.2500 0.7500 0.7500 Ge
0.7500 0.2500 0.2500 Ge
0.7500 0.2500 0.7500 Ge
0.7500 0.7500 0.2500 Ge
0.7500 0.7500 0.7500 Ge
0.0000 0.0000 0.5000 Ru
0.0000 0.5000 0.0000 Ru
0.5000 0.0000 0.0000 Ru
0.5000 0.5000 0.5000 Ru
```


# 4
Material: Fe3GeRu
Method: DFT, PBE
State: relaxed

Calculated values
SG: Pm-3m, No. 221
E above lowest polymorph: 0.81 eV per formula unit
VASP energy: -6.360 eV per atom
Calculated volume: 75.8 Å³/cell
Energy of formation: 1.496 eV/atom

Geometry as POSCAR:
```
Fe3GeRu
1.0
4.2315 0.0000 0.0000
0.0000 4.2315 0.0000
0.0000 0.0000 4.2315
Fe Ge Ru
3 1 1
direct
0.0000 0.0000 0.5000 Fe
0.0000 0.5000 0.0000 Fe
0.5000 0.0000 0.0000 Fe
0.0000 0.0000 0.0000 Ge
0.5000 0.5000 0.5000 Ru
```


# 5
Material: ScFeGe2Ru
Method: DFT, PBE
State: relaxed

Calculated values
SG: P4/mmm, No. 123
VASP energy: -5.087 eV per atom
Calculated volume: 111.8 Å³/cell
Energy of formation: 1.574 eV/atom

Geometry as POSCAR:
```
ScFeGe2Ru
1.0
4.9955 0.0000 0.0000
0.0000 4.9955 0.0000
0.0000 0.0000 4.4814
Sc Fe Ge Ru
1 1 2 1
direct
0.0000 0.0000 0.0000 Sc
0.5000 0.5000 0.5000 Fe
0.0000 0.5000 0.0000 Ge
0.5000 0.0000 0.0000 Ge
0.0000 0.0000 0.5000 Ru
```


# 6
Material: SmFeGe3Ru
Method: DFT, PBE
State: relaxed

Calculated values
SG: Cmcm, No. 63
VASP energy: -6.271 eV per atom
Calculated volume: 235.5 Å³/cell
Energy of formation: -0.219 eV/atom

Geometry as POSCAR:
```
SmFeGe3Ru
1.0
3.7702 -5.4688 0.0000
3.7702 5.4688 0.0000
0.0000 0.0000 5.7099
Sm Fe Ge Ru
2 2 6 2
direct
0.2477 0.7523 0.7500 Sm
0.7523 0.2477 0.2500 Sm
0.0412 0.9588 0.2500 Fe
0.9588 0.0412 0.7500 Fe
0.2411 0.2411 0.0000 Ge
0.2411 0.2411 0.5000 Ge
0.2411 0.7589 0.2500 Ge
0.7589 0.2411 0.7500 Ge
0.7589 0.7589 0.0000 Ge
0.7589 0.7589 0.5000 Ge
0.4523 0.5477 0.2500 Ru
0.5477 0.4523 0.7500 Ru
```


# 7
Material: TaFeGeRu
Method: DFT, PBE
State: relaxed

Calculated values
SG: F-43m, No. 216
VASP energy: -8.802 eV per atom
Calculated volume: 226.5 Å³/cell
Energy of formation: -0.250 eV/atom

Geometry as POSCAR:
```
TaFeGeRu
1.0
6.0957 0.0000 0.0000
0.0000 6.0957 0.0000
0.0000 0.0000 6.0957
Ta Fe Ge Ru
4 4 4 4
direct
0.0000 0.0000 0.0000 Ta
0.0000 0.5000 0.5000 Ta
0.5000 0.0000 0.5000 Ta
0.5000 0.5000 0.0000 Ta
0.2500 0.2500 0.7500 Fe
0.2500 0.7500 0.2500 Fe
0.7500 0.2500 0.2500 Fe
0.7500 0.7500 0.7500 Fe
0.0000 0.0000 0.5000 Ge
0.0000 0.5000 0.0000 Ge
0.5000 0.0000 0.0000 Ge
0.5000 0.5000 0.5000 Ge
0.2500 0.2500 0.2500 Ru
0.2500 0.7500 0.7500 Ru
0.7500 0.2500 0.7500 Ru
0.7500 0.7500 0.2500 Ru
```


# 8
Material: ThFeGe2Ru
Method: DFT, PBE
State: relaxed

Calculated values
SG: I-4m2, No. 119
VASP energy: -7.444 eV per atom
Calculated volume: 177.3 Å³/cell
Energy of formation: -0.565 eV/atom

Geometry as POSCAR:
```
ThFeGe2Ru
1.0
4.2159 0.0000 0.0000
0.0000 4.2159 0.0000
0.0000 0.0000 9.9736
Th Fe Ge Ru
2 2 4 2
direct
0.0000 0.0000 0.0000 Th
0.5000 0.5000 0.5000 Th
0.0000 0.5000 0.2500 Fe
0.5000 0.0000 0.7500 Fe
0.0000 0.0000 0.3680 Ge
0.0000 0.0000 0.6320 Ge
0.5000 0.5000 0.1320 Ge
0.5000 0.5000 0.8680 Ge
0.0000 0.5000 0.7500 Ru
0.5000 0.0000 0.2500 Ru
```


# 9
Material: UFeGeRu
Method: DFT, PBE
State: relaxed

Calculated values
SG: F-43m, No. 216
VASP energy: -8.525 eV per atom
Calculated volume: 256.3 Å³/cell
Energy of formation: -0.114 eV/atom

Geometry as POSCAR:
```
UFeGeRu
1.0
6.3522 0.0000 0.0000
0.0000 6.3522 0.0000
0.0000 0.0000 6.3522
U Fe Ge Ru
4 4 4 4
direct
0.0000 0.0000 0.0000 U
0.0000 0.5000 0.5000 U
0.5000 0.0000 0.5000 U
0.5000 0.5000 0.0000 U
0.2500 0.2500 0.2500 Fe
0.2500 0.7500 0.7500 Fe
0.7500 0.2500 0.7500 Fe
0.7500 0.7500 0.2500 Fe
0.0000 0.0000 0.5000 Ge
0.0000 0.5000 0.0000 Ge
0.5000 0.0000 0.0000 Ge
0.5000 0.5000 0.5000 Ge
0.2500 0.2500 0.7500 Ru
0.2500 0.7500 0.2500 Ru
0.7500 0.2500 0.2500 Ru
0.7500 0.7500 0.7500 Ru
```


# 10
Material: FeGeRuW
Method: DFT, PBE
State: relaxed

Calculated values
SG: F-43m, No. 216
VASP energy: -8.727 eV per atom
Calculated volume: 222.9 Å³/cell
Energy of formation: 0.100 eV/atom

Geometry as POSCAR:
```
FeGeRuW
1.0
6.0634 0.0000 0.0000
0.0000 6.0634 0.0000
0.0000 0.0000 6.0634
Fe Ge Ru W
4 4 4 4
direct
0.0000 0.0000 0.0000 Fe
0.0000 0.5000 0.5000 Fe
0.5000 0.0000 0.5000 Fe
0.5000 0.5000 0.0000 Fe
0.2500 0.2500 0.7500 Ge
0.2500 0.7500 0.2500 Ge
0.7500 0.2500 0.2500 Ge
0.7500 0.7500 0.7500 Ge
0.0000 0.0000 0.5000 Ru
0.0000 0.5000 0.0000 Ru
0.5000 0.0000 0.0000 Ru
0.5000 0.5000 0.5000 Ru
0.2500 0.2500 0.2500 W
0.2500 0.7500 0.7500 W
0.7500 0.2500 0.7500 W
0.7500 0.7500 0.2500 W
```


# 11
Material: FeGeS3
Method: DFT, PBE
State: relaxed

Calculated values
SG: P-1, No. 2
Formation energy (no corrections): -24.23 kJ per mole of atoms
VASP energy: -5.344 eV per atom
Calculated volume: 241.6 Å³/cell

Geometry as POSCAR:
```
FeGeS3
1.0
3.3584 0.0000 0.0000
1.6688 7.5813 0.0000
0.0063 2.0982 9.4890
Fe Ge S
2 2 6
direct
0.0733 0.3521 0.4712 Fe
0.9267 0.6479 0.5288 Fe
0.4167 0.6693 0.2033 Ge
0.5833 0.3307 0.7967 Ge
0.1259 0.2445 0.9467 S
0.3510 0.8007 0.3905 S
0.4368 0.6269 0.6928 S
0.5632 0.3731 0.3072 S
0.6490 0.1993 0.6095 S
0.8741 0.7555 0.0533 S
```


# 12
Material: Fe3GeS
Method: DFT, PBE
State: relaxed

Calculated values
SG: Pm-3m, No. 221
E above lowest polymorph: 3.95 eV per formula unit
Formation energy (no corrections): 101.65 kJ per mole of atoms
VASP energy: -5.773 eV per atom
Calculated volume: 86.7 Å³/cell

Geometry as POSCAR:
```
Fe3GeS
1.0
4.4260 0.0000 0.0000
0.0000 4.4260 0.0000
0.0000 0.0000 4.4260
Fe Ge S
3 1 1
direct
0.0000 0.0000 0.5000 Fe
0.0000 0.5000 0.0000 Fe
0.5000 0.0000 0.0000 Fe
0.0000 0.0000 0.0000 Ge
0.5000 0.5000 0.5000 S
```


# 13
Material: FeGeS3
Method: DFT, PBE
State: relaxed

Calculated values
SG: Pm-3m, No. 221
Formation energy (no corrections): 24.84 kJ per mole of atoms
VASP energy: -4.835 eV per atom
Calculated volume: 92.5 Å³/cell

Geometry as POSCAR:
```
FeGeS3
1.0
4.5228 0.0000 0.0000
0.0000 4.5228 0.0000
0.0000 0.0000 4.5228
Fe Ge S
1 1 3
direct
0.0000 0.0000 0.0000 Fe
0.5000 0.5000 0.5000 Ge
0.0000 0.0000 0.5000 S
0.0000 0.5000 0.0000 S
0.5000 0.0000 0.0000 S
```


# 14
Material: FeGe3S
Method: DFT, PBE
State: relaxed

Calculated values
SG: Pm-3m, No. 221
E above lowest polymorph: 0.00 eV per formula unit
Formation energy (no corrections): 2.05 kJ per mole of atoms
VASP energy: -5.267 eV per atom
Calculated volume: 93.5 Å³/cell

Geometry as POSCAR:
```
FeGe3S
1.0
4.5394 0.0000 0.0000
0.0000 4.5394 0.0000
0.0000 0.0000 4.5394
Fe Ge S
1 3 1
direct
0.0000 0.0000 0.0000 Fe
0.0000 0.0000 0.5000 Ge
0.0000 0.5000 0.0000 Ge
0.5000 0.0000 0.0000 Ge
0.5000 0.5000 0.5000 S
```


# 15
Material: FeGeS3
Method: DFT, PBE
State: relaxed

Calculated values
SG: C2/c, No. 15
Formation energy (no corrections): -22.94 kJ per mole of atoms
VASP energy: -5.330 eV per atom
Calculated volume: 351.6 Å³/cell

Geometry as POSCAR:
```
FeGeS3
1.0
5.6925 -5.1745 0.0000
5.6925 5.1745 0.0000
-0.8738 0.0000 5.9675
Fe Ge S
4 4 12
direct
0.0847 0.9153 0.7500 Fe
0.2552 0.7448 0.2500 Fe
0.7448 0.2552 0.7500 Fe
0.9153 0.0847 0.2500 Fe
0.2090 0.4076 0.7161 Ge
0.4076 0.2090 0.2161 Ge
0.5924 0.7910 0.7839 Ge
0.7910 0.5924 0.2839 Ge
0.0069 0.1806 0.6118 S
0.1060 0.6639 0.9164 S
0.1806 0.0069 0.1118 S
0.2713 0.4709 0.3703 S
0.3361 0.8940 0.5836 S
0.4709 0.2713 0.8703 S
0.5291 0.7287 0.1297 S
0.6639 0.1060 0.4164 S
0.7287 0.5291 0.6297 S
0.8194 0.9931 0.8882 S
0.8940 0.3361 0.0836 S
0.9931 0.8194 0.3882 S
```


# 16
Material: Fe3GeS
Method: DFT, PBE
State: relaxed

Calculated values
SG: Pm-3m, No. 221
E above lowest polymorph: 0.00 eV per formula unit
Formation energy (no corrections): 25.35 kJ per mole of atoms
VASP energy: -6.564 eV per atom
Calculated volume: 72.5 Å³/cell

Geometry as POSCAR:
```
Fe3GeS
1.0
4.1707 0.0000 0.0000
0.0000 4.1707 0.0000
0.0000 0.0000 4.1707
Fe Ge S
3 1 1
direct
0.0000 0.0000 0.5000 Fe
0.0000 0.5000 0.0000 Fe
0.5000 0.0000 0.0000 Fe
0.5000 0.5000 0.5000 Ge
0.0000 0.0000 0.0000 S
```


# 17
Material: FeGeS
Method: DFT, PBE
State: relaxed

Calculated values
SG: C2/c, No. 15
Formation energy (no corrections): 18.26 kJ per mole of atoms
VASP energy: -5.547 eV per atom
Calculated volume: 186.6 Å³/cell

Geometry as POSCAR:
```
FeGeS
1.0
8.3914 0.0000 0.0000
0.0000 5.4795 0.0000
-2.9247 0.0000 4.0578
Fe Ge S
4 4 4
direct
0.0000 0.0000 0.0000 Fe
0.0000 0.0000 0.5000 Fe
0.5000 0.5000 0.0000 Fe
0.5000 0.5000 0.5000 Fe
0.0000 0.3893 0.2500 Ge
0.0000 0.6107 0.7500 Ge
0.5000 0.1107 0.7500 Ge
0.5000 0.8893 0.2500 Ge
0.2500 0.2500 0.0000 S
0.2500 0.7500 0.5000 S
0.7500 0.2500 0.5000 S
0.7500 0.7500 0.0000 S
```


# 18
Material: FeGeS
Method: DFT, PBE
State: relaxed

Calculated values
SG: P2_1/c, No. 14
Formation energy (no corrections): -29.83 kJ per mole of atoms
VASP energy: -6.045 eV per atom
Calculated volume: 170.5 Å³/cell

Geometry as POSCAR:
```
FeGeS
1.0
5.6628 0.0000 0.0000
0.0000 5.8362 0.0000
-2.7891 0.0000 5.1578
Fe Ge S
4 4 4
direct
0.2282 0.0146 0.4878 Fe
0.2282 0.4854 0.9878 Fe
0.7718 0.5146 0.0122 Fe
0.7718 0.9854 0.5122 Fe
0.3404 0.6508 0.6778 Ge
0.3404 0.8492 0.1778 Ge
0.6596 0.1508 0.8222 Ge
0.6596 0.3492 0.3222 Ge
0.1588 0.1275 0.8167 S
0.1588 0.3725 0.3167 S
0.8412 0.6275 0.6833 S
0.8412 0.8725 0.1833 S
```


# 19
Material: Fe2GeS
Method: DFT, PBE
State: relaxed

Calculated values
SG: I-42d, No. 122
Formation energy (no corrections): 20.64 kJ per mole of atoms
VASP energy: -6.204 eV per atom
Calculated volume: 262.1 Å³/cell

Geometry as POSCAR:
```
Fe2GeS
1.0
5.2491 0.0000 0.0000
0.0000 5.2491 0.0000
0.0000 0.0000 9.5138
Fe Ge S
8 4 4
direct
0.2147 0.2500 0.1250 Fe
0.2500 0.7147 0.3750 Fe
0.2500 0.7853 0.8750 Fe
0.2853 0.2500 0.6250 Fe
0.7147 0.7500 0.6250 Fe
0.7500 0.2147 0.8750 Fe
0.7500 0.2853 0.3750 Fe
0.7853 0.7500 0.1250 Fe
0.0000 0.0000 0.5000 Ge
0.0000 0.5000 0.7500 Ge
0.5000 0.0000 0.2500 Ge
0.5000 0.5000 0.0000 Ge
0.0000 0.0000 0.0000 S
0.0000 0.5000 0.2500 S
0.5000 0.0000 0.7500 S
0.5000 0.5000 0.5000 S
```


# 20
Material: FeGe3S
Method: DFT, PBE
State: relaxed

Calculated values
SG: Pm-3m, No. 221
E above lowest polymorph: 6.10 eV per formula unit
Formation energy (no corrections): 119.73 kJ per mole of atoms
VASP energy: -4.048 eV per atom
Calculated volume: 108.4 Å³/cell

Geometry as POSCAR:
```
FeGe3S
1.0
4.7686 0.0000 0.0000
0.0000 4.7686 0.0000
0.0000 0.0000 4.7686
Fe Ge S
1 3 1
direct
0.0000 0.0000 0.0000 Fe
0.0000 0.5000 0.5000 Ge
0.5000 0.0000 0.5000 Ge
0.5000 0.5000 0.0000 Ge
0.5000 0.5000 0.5000 S
```


Computed M_tot, in the same sequence as the records: 0.0000, 0.3063, 0.0000, 0.0937, 0.0676, 0.1017, 0.2443, 0.0001, 0.5040, 0.4535, 0.4000, 1.3966, 0.6965, 0.0000, 0.0000, 1.2000, 0.7586, 0.0000, 0.0006, 0.0257 μB per atom.